Record 1
Here is a relaxed structure of GdDyLuHg from Alexandria. Energies are from GGA-PBE.

The structure belongs to space group F-43m (No. 216); the cell edges are 7.621, 7.621 and 7.621 Å and the angles 90.00°, 90.00° and 90.00°. The distinct sites, in fractional coordinates, are Gd at (0.000, 0.000, 0.000), Dy at (0.000, 0.000, 0.500), Lu at (0.250, 0.250, 0.750) and Hg at (0.250, 0.250, 0.250).

Its total energy is -5.955 eV per atom. For the formation energy from the elements, the calculation gives -0.0786 eV per atom.

***

Record 2
Here is a relaxed structure of HfBeMo2 from Alexandria. Energies are from GGA-PBE.

The structure belongs to space group I-42d (No. 122); the cell edges are 7.170, 7.170 and 5.011 Å and the angles 90.00°, 90.00° and 90.00°. The distinct sites, in fractional coordinates, are Hf at (0.000, 0.000, 0.000), Be at (0.000, 0.000, 0.500) and Mo at (0.200, 0.750, 0.625).

Its total energy is -8.408 eV per atom. For the formation energy from the elements, the calculation gives 0.4274 eV per atom.

***

Record 3
Here is a relaxed structure of RbU2I8 from Alexandria. Energies are from GGA-PBE.

The structure belongs to space group P-3 (No. 147); the cell edges are 10.9853, 10.9853 and 6.1936 Å and the angles 90.00°, 90.00° and 120.00°. The distinct sites, in fractional coordinates, are Rb at (0.0000, 0.0000, 0.0000), U at (0.3333, 0.6667, 0.2485), I at (0.1777, 0.3574, 0.2624) and I at (0.3333, 0.6667, 0.7564).

As for the energy above the most stable polymorph in this dataset: 0.0000 eV per atom. Its total energy is -4.095 eV per atom. The energy relative to the elements, uncorrected is -0.827 eV per atom.

***

Record 4
Here is a relaxed structure of SrSiSe2N from Alexandria. Energies are from GGA-PBE.

The structure belongs to space group P4/mmm (No. 123); the cell edges are 5.376, 5.376 and 3.399 Å and the angles 90.00°, 90.00° and 90.00°. The distinct sites, in fractional coordinates, are Sr at (0.000, 0.000, 0.000), Si at (0.500, 0.500, 0.500), Se at (0.000, 0.500, 0.500) and N at (0.500, 0.500, 0.000).

As for the energy above the most stable polymorph in this dataset: 0.0000 eV per atom. Its total energy is -5.037 eV per atom. The energy relative to the elements, uncorrected is -0.557 eV per atom.

***

Copy entry 2 word for word.
Here is a relaxed structure of HfBeMo2 from Alexandria. Energies are from GGA-PBE.

The structure belongs to space group I-42d (No. 122); the cell edges are 7.170, 7.170 and 5.011 Å and the angles 90.00°, 90.00° and 90.00°. The distinct sites, in fractional coordinates, are Hf at (0.000, 0.000, 0.000), Be at (0.000, 0.000, 0.500) and Mo at (0.200, 0.750, 0.625).

Its total energy is -8.408 eV per atom. For the formation energy from the elements, the calculation gives 0.4274 eV per atom.